DFT (GGA-PBE) results for a geometry-optimized CdPbF2 structure.

Structure (POSCAR):
```
CdPbF2
1.0
-7.472 2.673 -0.308
-7.402 0.871 2.741
-6.205 4.203 2.626
Pb F Cd
1 2 1
Direct
0.000 0.000 0.000
0.885 0.885 0.885
0.115 0.115 0.115
0.500 0.500 0.500
```

Properties
Its magnetic moment is 0.000 μB/atom. The calculation puts the density of states at the Fermi level at 0.70 states/eV per cell. The formation energy from raw total energies is -1538 meV/atom. For the energy above the lowest structure with this stoichiometry, the calculation gives 20 meV/atom.

***

DFT (GGA-PBE) results for a geometry-optimized HfUTi structure.

Structure (POSCAR):
```
HfUTi
1.0
4.860 0.000 0.000
0.000 2.936 0.000
0.000 1.468 8.372
Hf U Ti
2 2 2
Direct
0.250 0.129 0.742
0.750 0.871 0.258
0.250 0.462 0.075
0.750 0.538 0.925
0.750 0.702 0.596
0.250 0.298 0.404
```

Properties
Its magnetic moment is 0.000 μB/atom. The calculation puts the density of states at the Fermi level at 9.37 states/eV per cell. The value obtained for the formation energy is 0.11 eV/atom. For the energy above the lowest structure with this stoichiometry, the calculation gives 0 meV/atom.

***

DFT (GGA-PBE) results for a geometry-optimized MgZrAg2 structure.

Structure (POSCAR):
```
MgZrAg2
1.0
3.044 0.000 0.000
0.000 3.375 0.000
0.000 0.000 7.527
Mg Zr Ag
1 1 2
Direct
0.500 0.500 0.250
0.500 0.500 0.750
0.000 0.000 0.017
0.000 0.000 0.483
```

Properties
Its magnetic moment is 0.000 μB/atom. The calculation puts the density of states at the Fermi level at 3.09 states/eV per cell. The value obtained for the formation energy is -0.12 eV/atom.

***

DFT (GGA-PBE) results for a geometry-optimized FeCuMo2H structure.

Structure (POSCAR):
```
FeCuMo2H
1.0
3.932 0.000 0.000
0.000 3.932 0.000
0.000 0.000 3.643
H Mo Fe Cu
1 2 1 1
Direct
0.000 0.000 0.000
0.000 0.500 0.000
0.500 0.000 0.000
0.000 0.000 0.500
0.500 0.500 0.500
```

Properties
Its magnetic moment is 0.000 μB/atom. The calculation puts the density of states at the Fermi level at 3.96 states/eV per cell. As for the total energy: -36.6 eV per cell.

***

DFT (GGA-PBE) results for a geometry-optimized ScMn structure.

Structure (POSCAR):
```
ScMn
1.0
-2.008 2.181 0.648
2.302 -2.656 8.974
0.892 2.898 0.116
Mn Sc
2 2
Direct
0.996 0.987 0.996
0.254 0.763 0.254
0.508 0.525 0.508
0.742 0.225 0.742
```

Properties
Its magnetic moment is 1.599 μB/atom. The calculation puts the density of states at the Fermi level at 5.69 states/eV per cell. The value obtained for the formation energy is 0.37 eV/atom.

***

DFT (GGA-PBE) results for a geometry-optimized Hg2AsHRh structure.

Structure (POSCAR):
```
Hg2AsHRh
1.0
5.418 0.000 0.000
0.000 4.602 0.000
0.000 0.000 5.418
H As Rh Hg
1 1 1 2
Direct
0.500 0.500 0.500
0.000 0.000 0.000
0.000 0.500 0.000
0.000 0.000 0.500
0.500 0.000 0.000
```

Properties
Its magnetic moment is 0.205 μB/atom. The calculation puts the density of states at the Fermi level at 0.83 states/eV per cell. As for the total energy: -11.9 eV per cell.

***

DFT (GGA-PBE) results for a geometry-optimized TbScGa2Ni2 structure.

Structure (POSCAR):
```
TbScGa2Ni2
1.0
-0.833 3.023 -2.890
0.063 -4.102 -1.163
-6.470 -0.484 1.358
Tb Sc Ga Ni
1 1 2 2
Direct
0.000 0.000 0.000
0.000 0.000 0.500
0.667 0.333 0.716
0.333 0.667 0.284
0.667 0.333 0.290
0.333 0.667 0.710
```

Properties
Its magnetic moment is 0.000 μB/atom. The calculation puts the density of states at the Fermi level at 4.40 states/eV per cell. The value obtained for the formation energy is -0.64 eV/atom.

***

DFT (GGA-PBE) results for a geometry-optimized ErMg2ScPd4 structure.

Structure (POSCAR):
```
ErMg2ScPd4
1.0
-4.251 1.122 -1.545
-3.626 -2.773 0.936
-3.947 3.364 6.275
Er Mg Sc Pd
1 2 1 4
Direct
0.000 0.000 0.000
0.752 0.752 0.744
0.248 0.248 0.256
0.500 0.500 0.500
0.379 0.379 0.863
0.873 0.873 0.380
0.127 0.127 0.620
0.621 0.621 0.137
```

Properties
Its magnetic moment is 0.000 μB/atom. The calculation puts the density of states at the Fermi level at 4.23 states/eV per cell. The value obtained for the formation energy is -0.83 eV/atom.

***

DFT (GGA-PBE) results for a geometry-optimized Tb4NdDy8 structure.

Structure (POSCAR):
```
Tb4NdDy8
1.0
-4.162 -5.913 -1.065
5.551 1.427 -4.535
6.466 -1.381 7.480
Tb Nd Dy
4 1 8
Direct
0.000 0.000 0.000
0.000 0.500 0.000
0.500 0.500 0.000
0.500 0.000 0.000
0.000 0.500 0.500
0.564 0.782 0.346
0.436 0.218 0.654
0.499 0.250 0.305
0.944 0.194 0.695
0.501 0.750 0.695
0.944 0.750 0.695
0.056 0.250 0.305
0.056 0.806 0.305
```

Properties
Its magnetic moment is 0.000 μB/atom. The calculation puts the density of states at the Fermi level at 13.97 states/eV per cell. The value obtained for the formation energy is 0.19 eV/atom.

***

DFT (GGA-PBE) results for a geometry-optimized K3CeP2O8 structure.

Structure (POSCAR):
```
K3CeP2O8
1.0
5.745 0.000 0.000
0.000 7.588 0.023
0.000 0.176 9.702
K Ce P O
6 2 4 16
Direct
0.250 0.796 0.585
0.250 0.507 0.309
0.750 0.204 0.415
0.750 0.642 0.092
0.750 0.493 0.691
0.250 0.358 0.908
0.750 0.993 0.790
0.250 0.007 0.210
0.250 0.805 0.927
0.750 0.765 0.414
0.250 0.235 0.586
0.750 0.195 0.073
0.972 0.250 0.154
0.750 0.285 0.926
0.972 0.845 0.342
0.528 0.250 0.154
0.750 0.564 0.399
0.250 0.715 0.074
0.028 0.750 0.846
0.750 0.819 0.568
0.528 0.845 0.342
0.472 0.155 0.658
0.472 0.750 0.846
0.028 0.155 0.658
0.250 0.181 0.432
0.750 0.992 0.051
0.250 0.436 0.601
0.250 0.008 0.949
```

Properties
Its magnetic moment is 0.071 μB/atom. The calculation puts the density of states at the Fermi level at 13.14 states/eV per cell. The formation energy from raw total energies is -2550 meV/atom. For the energy above the lowest structure with this stoichiometry, the calculation gives 0 meV/atom.

***

DFT (GGA-PBE) results for a geometry-optimized NiHgBPC structure.

Structure (POSCAR):
```
NiHgBPC
1.0
6.359 0.000 0.003
0.000 2.877 0.000
-2.834 0.000 7.822
Ni C B Hg P
2 2 2 2 2
Direct
0.529 0.000 0.912
0.529 0.500 0.412
0.762 0.000 0.167
0.762 0.500 0.667
0.649 0.000 0.301
0.649 0.500 0.801
0.250 0.000 0.538
0.250 0.500 0.038
0.833 0.000 0.570
0.833 0.500 0.070
```

Properties
Its magnetic moment is 0.000 μB/atom. The calculation puts the density of states at the Fermi level at 2.22 states/eV per cell. The value obtained for the formation energy is 0.30 eV/atom. For the energy above the lowest structure with this stoichiometry, the calculation gives 29 meV/atom.

***

DFT (GGA-PBE) results for a geometry-optimized La2Nd5Y4 structure.

Structure (POSCAR):
```
La2Nd5Y4
1.0
3.521 0.000 -0.665
-0.255 11.775 -1.349
-0.089 0.421 9.182
La Nd Y
2 5 4
Direct
0.718 0.357 0.435
0.282 0.643 0.565
0.905 0.463 0.810
0.095 0.537 0.190
0.824 0.930 0.648
0.500 0.000 0.000
0.176 0.070 0.352
0.360 0.201 0.720
0.968 0.742 0.937
0.640 0.799 0.280
0.032 0.258 0.063
```

Properties
Its magnetic moment is 0.000 μB/atom. The calculation puts the density of states at the Fermi level at 15.66 states/eV per cell. The value obtained for the formation energy is 0.06 eV/atom. For the energy above the lowest structure with this stoichiometry, the calculation gives 0 meV/atom.